No. 1
## CaOsPd3 (GGA-PBE)

Data for a relaxed structure of CaOsPd3.

Computed properties:
Crystal system: cubic
Offset from the most stable computed form in eV per atom: 0.0000
Electronic total energy in eV/atom: -5.22
Energy of formation from the pure elements in meV/atom: 546

abc: 4.870 4.870 4.870
angles: 90.00 90.00 90.00
Fractional positions:
Ca 0.000 0.000 0.000
Os 0.500 0.500 0.500
Pd 0.000 0.500 0.500
Pd 0.500 0.000 0.500
Pd 0.500 0.500 0.000



No. 2
## CaNd5Ge4 (GGA-PBE)

Data for a relaxed structure of CaNd5Ge4.

Computed properties:
Crystal system: monoclinic
Electronic total energy in eV/atom: -5.05
Energy of formation from the pure elements in meV/atom: -615

abc: 8.271 8.271 7.122
angles: 92.32 92.32 36.44
Fractional positions:
Ca 0.000 0.000 0.000
Nd 0.000 0.000 0.500
Nd 0.332 0.332 0.488
Nd 0.342 0.342 0.009
Nd 0.658 0.658 0.991
Nd 0.668 0.668 0.512
Ge 0.180 0.180 0.753
Ge 0.490 0.490 0.745
Ge 0.510 0.510 0.255
Ge 0.820 0.820 0.247



No. 3
## Tb2ErTl3Te6 (GGA-PBE)

Data for a relaxed structure of Tb2ErTl3Te6.

Computed properties:
Crystal system: monoclinic
Uncorrected formation energy in eV/atom: -1.05
Electronic total energy in eV/atom: -4.37

abc: 7.711 7.711 8.581
angles: 98.61 98.61 120.00
Fractional positions:
Tb 0.166 0.834 0.000
Tb 0.834 0.166 0.000
Er 0.500 0.500 0.000
Tl 0.000 0.000 0.500
Tl 0.332 0.668 0.500
Tl 0.668 0.332 0.500
Te 0.099 0.429 0.787
Te 0.241 0.241 0.214
Te 0.429 0.099 0.787
Te 0.571 0.901 0.213
Te 0.759 0.759 0.786
Te 0.901 0.571 0.213



No. 4
## Tm4Bi2SbSe (GGA-PBE)

Data for a relaxed structure of Tm4Bi2SbSe.

Computed properties:
Crystal system: monoclinic
Uncorrected formation energy in eV/atom: -1.07
Electronic total energy in eV/atom: -5.22

abc: 7.454 4.312 7.476
angles: 90.00 109.39 90.00
Fractional positions:
Tm 0.243 0.000 0.238
Tm 0.249 0.500 0.760
Tm 0.751 0.500 0.240
Tm 0.757 0.000 0.762
Bi 0.000 0.000 0.500
Bi 0.500 0.500 0.500
Sb 0.500 0.000 0.000
Se 0.000 0.500 0.000



No. 5
## PrSm4Sb2 (GGA-PBE)

Data for a relaxed structure of PrSm4Sb2.

Computed properties:
Crystal system: tetragonal
Uncorrected formation energy in eV/atom: 0.17
Electronic total energy in eV/atom: -4.39

abc: 9.215 9.215 9.215
angles: 146.16 146.16 48.62
Fractional positions:
Pr 0.000 0.000 0.000
Sm 0.000 0.500 0.500
Sm 0.184 0.184 0.000
Sm 0.500 0.000 0.500
Sm 0.816 0.816 0.000
Sb 0.367 0.367 0.000
Sb 0.633 0.633 0.000



No. 6
## Ca2YAl (GGA-PBE)

Data for a relaxed structure of Ca2YAl.

Computed properties:
Crystal system: orthorhombic
Electronic total energy in eV/atom: -3.59
Energy of formation from the pure elements in meV/atom: -40

abc: 6.779 6.779 6.779
angles: 147.18 132.56 58.89
Fractional positions:
Ca 0.212 0.212 0.000
Ca 0.788 0.788 0.000
Y 0.500 0.000 0.500
Al 0.000 0.500 0.500



No. 7
## BIrN2F (GGA-PBE)

Data for a relaxed structure of BIrN2F.

Computed properties:
Crystal system: tetragonal
Uncorrected formation energy in eV/atom: 0.96
Offset from the most stable computed form in eV per atom: 0.0000
Electronic total energy in eV/atom: -5.85

abc: 3.718 3.718 2.947
angles: 90.00 90.00 90.00
Fractional positions:
B 0.000 0.000 0.000
Ir 0.500 0.500 0.500
N 0.000 0.500 0.000
N 0.500 0.000 0.000
F 0.000 0.000 0.500



No. 8
## PmSeS (GGA-PBE)

Data for a relaxed structure of PmSeS.

Computed properties:
Crystal system: cubic
Uncorrected formation energy in eV/atom: -1.36
Offset from the most stable computed form in eV per atom: 0.3291
Electronic total energy in eV/atom: -5.48

abc: 4.848 4.848 4.848
angles: 60.00 60.00 60.00
Fractional positions:
Pm 0.000 0.000 0.000
Se 0.750 0.750 0.750
S 0.250 0.250 0.250



No. 9
## PmAl12Ni4 (GGA-PBE)

Data for a relaxed structure of PmAl12Ni4.

Computed properties:
Crystal system: cubic
Electronic total energy in eV/atom: -4.40
Energy of formation from the pure elements in meV/atom: -118

abc: 7.514 7.514 7.514
angles: 109.47 109.47 109.47
Fractional positions:
Pm 0.000 0.000 0.000
Al 0.117 0.790 0.327
Al 0.210 0.327 0.537
Al 0.210 0.673 0.883
Al 0.327 0.117 0.790
Al 0.327 0.537 0.210
Al 0.463 0.790 0.673
Al 0.537 0.210 0.327
Al 0.673 0.463 0.790
Al 0.673 0.883 0.210
Al 0.790 0.327 0.117
Al 0.790 0.673 0.463
Al 0.883 0.210 0.673
Ni 0.000 0.000 0.500
Ni 0.000 0.500 0.000
Ni 0.500 0.000 0.000
Ni 0.500 0.500 0.500



No. 10
## AcTm3Pb3 (GGA-PBE)

Data for a relaxed structure of AcTm3Pb3.

Computed properties:
Crystal system: cubic
Offset from the most stable computed form in eV per atom: 0.4198
Electronic total energy in eV/atom: -3.93
Energy of formation from the pure elements in meV/atom: 159

abc: 8.258 8.258 8.258
angles: 90.00 90.00 90.00
Fractional positions:
Ac 0.000 0.000 0.000
Ac 0.500 0.500 0.500
Tm 0.000 0.250 0.500
Tm 0.000 0.750 0.500
Tm 0.250 0.500 0.000
Tm 0.500 0.000 0.250
Tm 0.500 0.000 0.750
Tm 0.750 0.500 0.000
Pb 0.000 0.500 0.250
Pb 0.000 0.500 0.750
Pb 0.250 0.000 0.500
Pb 0.500 0.250 0.000
Pb 0.500 0.750 0.000
Pb 0.750 0.000 0.500



No. 11
## AuC2 (GGA-PBE)

Data for a relaxed structure of AuC2.

Computed properties:
Crystal system: hexagonal
Offset from the most stable computed form in eV per atom: 1.2304
Electronic total energy in eV/atom: -5.75
Energy of formation from the pure elements in meV/atom: 1496

abc: 3.350 3.350 7.192
angles: 90.00 90.00 120.00
Fractional positions:
Au 0.000 0.000 0.000
Au 0.000 0.000 0.500
C 0.333 0.667 0.157
C 0.333 0.667 0.343
C 0.667 0.333 0.657
C 0.667 0.333 0.843



No. 12
## Ac7Ni2Pd2 (GGA-PBE)

Data for a relaxed structure of Ac7Ni2Pd2.

Computed properties:
Crystal system: orthorhombic
Electronic total energy in eV/atom: -4.97
Energy of formation from the pure elements in meV/atom: -358

abc: 10.083 10.083 10.083
angles: 156.53 66.46 118.82
Fractional positions:
Ac 0.000 0.000 0.000
Ac 0.124 0.430 0.695
Ac 0.175 0.790 0.385
Ac 0.405 0.790 0.615
Ac 0.531 0.640 0.891
Ac 0.735 0.430 0.305
Ac 0.748 0.640 0.109
Ni 0.385 0.385 0.000
Ni 0.792 0.292 0.500
Pd 0.380 0.141 0.240
Pd 0.901 0.141 0.760



No. 13
## SnSbI6 (GGA-PBE)

Data for a relaxed structure of SnSbI6.

Computed properties:
Crystal system: trigonal
Uncorrected formation energy in eV/atom: -0.27
Electronic total energy in eV/atom: -2.45

abc: 8.181 8.181 8.181
angles: 55.02 55.02 55.02
Fractional positions:
Sn 0.000 0.000 0.000
Sb 0.500 0.500 0.500
I 0.083 0.750 0.418
I 0.250 0.582 0.917
I 0.418 0.083 0.750
I 0.582 0.917 0.250
I 0.750 0.418 0.083
I 0.917 0.250 0.582



No. 14
## LiCa2ZnPd (GGA-PBE)

Data for a relaxed structure of LiCa2ZnPd.

Computed properties:
Crystal system: tetragonal
Electronic total energy in eV/atom: -2.70
Energy of formation from the pure elements in meV/atom: -219

abc: 5.507 5.507 4.942
angles: 90.00 90.00 90.00
Fractional positions:
Li 0.000 0.000 0.000
Ca 0.000 0.500 0.500
Ca 0.500 0.000 0.500
Zn 0.500 0.500 0.000
Pd 0.500 0.500 0.500



No. 15
## LaSbPb (GGA-PBE)

Data for a relaxed structure of LaSbPb.

Computed properties:
Crystal system: cubic
Uncorrected formation energy in eV/atom: -0.30
Offset from the most stable computed form in eV per atom: 0.4079
Electronic total energy in eV/atom: -4.55

abc: 5.363 5.363 5.363
angles: 60.00 60.00 60.00
Fractional positions:
La 0.000 0.000 0.000
Sb 0.250 0.250 0.250
Pb 0.750 0.750 0.750



No. 16
## CoTcAs2 (GGA-PBE)

Data for a relaxed structure of CoTcAs2.

Computed properties:
Crystal system: monoclinic
Offset from the most stable computed form in eV per atom: 0.0000
Electronic total energy in eV/atom: -6.77
Energy of formation from the pure elements in meV/atom: -76

abc: 3.104 4.632 4.627
angles: 90.00 109.35 90.00
Fractional positions:
Co 0.000 0.000 0.000
Tc 0.416 0.500 0.830
As 0.122 0.500 0.248
As 0.302 0.000 0.599



No. 17
## Sc4ZnIn2Hg (GGA-PBE)

Data for a relaxed structure of Sc4ZnIn2Hg.

Computed properties:
Crystal system: trigonal
Electronic total energy in eV/atom: -4.45
Energy of formation from the pure elements in meV/atom: -407

abc: 8.585 8.585 8.585
angles: 33.55 33.55 33.55
Fractional positions:
Sc 0.123 0.123 0.123
Sc 0.373 0.373 0.373
Sc 0.627 0.627 0.627
Sc 0.877 0.877 0.877
Zn 0.000 0.000 0.000
In 0.251 0.251 0.251
In 0.749 0.749 0.749
Hg 0.500 0.500 0.500



No. 18
## SmHo2Cd (GGA-PBE)

Data for a relaxed structure of SmHo2Cd.

Computed properties:
Crystal system: tetragonal
Offset from the most stable computed form in eV per atom: 0.0605
Electronic total energy in eV/atom: -3.79
Energy of formation from the pure elements in meV/atom: -89

abc: 4.862 4.862 4.852
angles: 90.00 90.00 90.00
Fractional positions:
Sm 0.000 0.000 0.000
Ho 0.000 0.500 0.500
Ho 0.500 0.000 0.500
Cd 0.500 0.500 0.000



No. 19
## GaSn2PbN (GGA-PBE)

Data for a relaxed structure of GaSn2PbN.

Computed properties:
Crystal system: tetragonal
Uncorrected formation energy in eV/atom: 0.35
Electronic total energy in eV/atom: -4.27

abc: 5.610 5.610 3.841
angles: 90.00 90.00 90.00
Fractional positions:
Ga 0.000 0.000 0.000
Sn 0.000 0.500 0.500
Sn 0.500 0.000 0.500
Pb 0.500 0.500 0.000
N 0.000 0.000 0.500



No. 20
## Sc2Mn2Ni15 (GGA-PBE)

Data for a relaxed structure of Sc2Mn2Ni15.

Computed properties:
Crystal system: trigonal
Electronic total energy in eV/atom: -6.38
Energy of formation from the pure elements in meV/atom: -182

abc: 6.227 6.227 6.227
angles: 82.35 82.35 82.35
Fractional positions:
Sc 0.154 0.154 0.154
Sc 0.846 0.846 0.846
Mn 0.397 0.397 0.397
Mn 0.603 0.603 0.603
Ni 0.000 0.500 0.500
Ni 0.153 0.153 0.658
Ni 0.153 0.658 0.153
Ni 0.196 0.500 0.804
Ni 0.196 0.804 0.500
Ni 0.342 0.847 0.847
Ni 0.500 0.000 0.500
Ni 0.500 0.196 0.804
Ni 0.500 0.500 0.000
Ni 0.500 0.804 0.196
Ni 0.658 0.153 0.153
Ni 0.804 0.196 0.500
Ni 0.804 0.500 0.196
Ni 0.847 0.342 0.847
Ni 0.847 0.847 0.342



No. 21
## GaPt2PbW (GGA-PBE)

Data for a relaxed structure of GaPt2PbW.

Computed properties:
Crystal system: tetragonal
Electronic total energy in eV/atom: -5.08
Energy of formation from the pure elements in meV/atom: 1274

abc: 4.663 4.663 5.127
angles: 90.00 90.00 90.00
Fractional positions:
Ga 0.000 0.000 0.000
Pt 0.000 0.500 0.000
Pt 0.500 0.000 0.000
Pb 0.000 0.000 0.500
W 0.500 0.500 0.500



No. 22
## Fe2IrOs (GGA-PBE)

Data for a relaxed structure of Fe2IrOs.

Computed properties:
Crystal system: tetragonal
Electronic total energy in eV/atom: -9.18
Energy of formation from the pure elements in meV/atom: 77

abc: 2.755 2.755 6.898
angles: 90.00 90.00 90.00
Fractional positions:
Fe 0.000 0.000 0.000
Fe 0.500 0.500 0.221
Ir 0.000 0.000 0.480
Os 0.500 0.500 0.757



No. 23
## NdHoSn2 (GGA-PBE)

Data for a relaxed structure of NdHoSn2.

Computed properties:
Crystal system: orthorhombic
Electronic total energy in eV/atom: -5.08
Energy of formation from the pure elements in meV/atom: -737

abc: 4.350 6.221 6.221
angles: 43.13 90.00 90.00
Fractional positions:
Nd 0.000 0.000 0.000
Ho 0.500 0.269 0.269
Sn 0.000 0.727 0.727
Sn 0.500 0.543 0.543



No. 24
## ReSeCl2 (GGA-PBE)

Data for a relaxed structure of ReSeCl2.

Computed properties:
Crystal system: tetragonal
Uncorrected formation energy in eV/atom: 0.11
Offset from the most stable computed form in eV per atom: 0.3083
Electronic total energy in eV/atom: -4.79

abc: 6.660 6.660 6.660
angles: 97.30 97.30 138.22
Fractional positions:
Re 0.000 0.000 0.000
Re 0.750 0.250 0.500
Se 0.250 0.750 0.500
Se 0.500 0.500 0.000
Cl 0.375 0.235 0.360
Cl 0.765 0.125 0.140
Cl 0.875 0.015 0.640
Cl 0.985 0.625 0.860



No. 25
## Dy4SbC2 (GGA-PBE)

Data for a relaxed structure of Dy4SbC2.

Computed properties:
Crystal system: orthorhombic
Uncorrected formation energy in eV/atom: -0.53
Electronic total energy in eV/atom: -6.38

abc: 6.457 6.457 12.775
angles: 90.00 90.00 145.48
Fractional positions:
Dy 0.000 0.000 0.000
Dy 0.000 0.000 0.500
Dy 0.262 0.738 0.603
Dy 0.262 0.738 0.897
Dy 0.419 0.581 0.250
Dy 0.581 0.419 0.750
Dy 0.738 0.262 0.103
Dy 0.738 0.262 0.397
Sb 0.110 0.890 0.250
Sb 0.890 0.110 0.750
C 0.363 0.637 0.058
C 0.363 0.637 0.442
C 0.637 0.363 0.558
C 0.637 0.363 0.942